a) GGA+U V2CO, relaxed; D(E_F) = 1.48 states/eV/f.u.; V = 8.929 Å³ per atom; SG = Fm-3m, No. 225
1.0
2.601 0.074 2.626
-0.728 1.544 3.279
-0.348 -2.122 3.006
V O C
2 1 1
Direct
0.250 0.250 0.250 V
0.750 0.750 0.750 V
0.500 0.500 0.500 O
0.000 0.000 0.000 C

---

b) GGA+U V2CO, relaxed; D(E_F) = 0.71 states/eV/f.u.; V = 12.819 Å³ per atom; SG = I-42d, No. 122
1.0
-2.626 -3.131 -2.343
3.439 -0.504 -3.180
2.234 -5.235 -0.243
C O V
2 2 4
Direct
0.500 0.500 0.000 C
0.250 0.750 0.500 C
0.750 0.250 0.500 O
0.000 0.000 0.000 O
0.626 0.125 0.250 V
0.375 0.374 0.750 V
0.124 0.625 0.250 V
0.875 0.876 0.750 V

---

Computed stability ranking, most favorable first: b), a)

---

a) GGA+U Y2WCO, relaxed; D(E_F) = 3.29 states/eV/f.u.; V = 20.048 Å³ per atom; SG = P4/mmm, No. 123
1.0
4.995 0.000 0.000
0.000 4.017 0.000
0.000 0.000 4.995
Y W O C
2 1 1 1
Direct
0.000 0.000 0.500 Y
0.500 0.000 0.000 Y
0.000 0.500 0.000 W
0.500 0.500 0.500 O
0.000 0.000 0.000 C

---

b) GGA+U Y2WCO, relaxed; D(E_F) = 2.45 states/eV/f.u.; V = 23.302 Å³ per atom; SG = P4/mmm, No. 123
1.0
5.530 0.000 0.000
0.000 3.810 0.000
0.000 0.000 5.530
Y O C W
2 1 1 1
Direct
0.000 0.000 0.500 Y
0.500 0.000 0.000 Y
0.000 0.500 0.000 O
0.500 0.500 0.500 C
0.000 0.000 0.000 W

---

Computed stability ranking, most favorable first: a), b)